Here is a relaxed structure of Cs2AgClF3 from the Alexandria database. Energies are from PBE.

Values from the calculation:
For the raw formation energy, the calculation gives -178.6 kJ/mol of atoms. The magnetic moment is 0.001 μB/atom. As for the calculated total energy: -0.2622 Ry per atom. As for the density of states at the Fermi level: 7.33 states/eV per cell.

Cell lengths 4.586, 4.863, 15.524 Å; angles 90.00, 90.00, 90.00 degrees
Space group Immm (No. 71)
Inequivalent atoms, fractional coordinates:
Cs 0.000 0.000 0.158 [4 per cell]
Ag 0.000 0.000 0.500 [2 per cell]
Cl 0.000 0.500 0.500 [2 per cell]
F 0.000 0.000 0.348 [4 per cell]
F 0.000 0.500 0.000 [2 per cell]

=====

Here is a relaxed structure of CsRb3Sn from the Alexandria database. Energies are from PBE.

Values from the calculation:
The distance to the lowest polymorph of the same formula is 0.41 eV/f.u. The magnetic moment is 0.114 μB/atom. As for the calculated total energy: -0.1114 Ry per atom. The energy of formation from the pure elements is 3 kJ per mole of atoms. As for the density of states at the Fermi level: 4.32 states/eV per cell.

Cell lengths 7.347, 7.347, 7.347 Å; angles 90.00, 90.00, 90.00 degrees
Space group Pm-3m (No. 221)
Inequivalent atoms, fractional coordinates:
Cs 0.000 0.000 0.000 [1 per cell]
Rb 0.000 0.500 0.500 [3 per cell]
Sn 0.500 0.500 0.500 [1 per cell]

=====

Here is a relaxed structure of Mn2NiRh from the Alexandria database. Energies are from PBE.

Values from the calculation:
The magnetic moment is 0.995 μB/atom. As for the calculated total energy: -0.5766 Ry per atom. The energy of formation from the pure elements is 2 kJ per mole of atoms. As for the density of states at the Fermi level: 5.59 states/eV per cell.

Cell lengths 2.614, 3.604, 5.138 Å; angles 90.00, 90.00, 90.00 degrees
Space group Pmmm (No. 47)
Inequivalent atoms, fractional coordinates:
Mn 0.000 0.000 0.240 [2 per cell]
Ni 0.500 0.500 0.000 [1 per cell]
Rh 0.500 0.500 0.500 [1 per cell]

=====

Here is a relaxed structure of K2OsRu from the Alexandria database. Energies are from PBE.

Values from the calculation:
The distance to the lowest polymorph of the same formula is 2.84 eV/f.u. The magnetic moment is 0.647 μB/atom. As for the calculated total energy: -0.3138 Ry per atom. The energy of formation from the pure elements is 136 kJ per mole of atoms. As for the density of states at the Fermi level: 25.41 states/eV per cell.

Cell lengths 12.405, 12.405, 4.622 Å; angles 90.00, 90.00, 90.00 degrees
Space group I-42d (No. 122)
Inequivalent atoms, fractional coordinates:
K 0.060 0.250 0.125 [8 per cell]
Os 0.000 0.000 0.500 [4 per cell]
Ru 0.000 0.000 0.000 [4 per cell]

=====

Here is a relaxed structure of NaZnSeN2 from the Alexandria database. Energies are from PBE.

Values from the calculation:
For the raw formation energy, the calculation gives 107.3 kJ/mol of atoms. The distance to the lowest polymorph of the same formula is 0.00 eV/f.u. The magnetic moment is 0.862 μB/atom. As for the calculated total energy: -0.2523 Ry per atom. As for the density of states at the Fermi level: 2.45 states/eV per cell.

Cell lengths 4.095, 4.095, 5.332 Å; angles 90.00, 90.00, 90.00 degrees
Space group P4/mmm (No. 123)
Inequivalent atoms, fractional coordinates:
Na 0.000 0.000 0.000 [1 per cell]
Zn 0.500 0.500 0.500 [1 per cell]
Se 0.500 0.500 0.000 [1 per cell]
N 0.000 0.500 0.500 [2 per cell]

=====

Here is a relaxed structure of NiMo2P from the Alexandria database. Energies are from PBE.

Values from the calculation:
The magnetic moment is 0.000 μB/atom. As for the calculated total energy: -0.5962 Ry per atom. The energy of formation from the pure elements is 10 kJ per mole of atoms. As for the density of states at the Fermi level: 12.63 states/eV per cell.

Cell lengths 2.8306, 2.8306, 24.3020 Å; angles 90.00, 90.00, 120.00 degrees
Space group R3m (No. 160, hexagonal axes)
Inequivalent atoms, fractional coordinates:
Ni 0.0000 0.0000 0.0000 [3 per cell]
Mo 0.0000 0.0000 0.5193 [3 per cell]
Mo 0.0000 0.0000 0.7557 [3 per cell]
P 0.0000 0.0000 0.2626 [3 per cell]

=====

Here is a relaxed structure of Sm3PbO from the Alexandria database. Energies are from PBE.

Values from the calculation:
For the raw formation energy, the calculation gives -127.6 kJ/mol of atoms. The magnetic moment is 0.000 μB/atom. As for the calculated total energy: -0.4327 Ry per atom. As for the density of states at the Fermi level: 12.17 states/eV per cell.

Cell lengths 9.870, 13.632, 3.735 Å; angles 90.00, 90.00, 90.00 degrees
Space group Cmmm (No. 65)
Inequivalent atoms, fractional coordinates:
Sm 0.000 0.205 0.000 [4 per cell]
Sm 0.204 0.365 0.500 [8 per cell]
Pb 0.000 0.000 0.500 [2 per cell]
Pb 0.000 0.500 0.000 [2 per cell]
O 0.250 0.250 0.000 [4 per cell]

=====

Here is a relaxed structure of CaScAsAu2 from the Alexandria database. Energies are from PBE.

Values from the calculation:
The magnetic moment is 0.078 μB/atom. As for the calculated total energy: -0.2802 Ry per atom. The energy of formation from the pure elements is 9 kJ per mole of atoms. As for the density of states at the Fermi level: 4.97 states/eV per cell.

Cell lengths 4.991, 4.991, 5.222 Å; angles 90.00, 90.00, 90.00 degrees
Space group P4/mmm (No. 123)
Inequivalent atoms, fractional coordinates:
Ca 0.000 0.000 0.000 [1 per cell]
Sc 0.500 0.500 0.000 [1 per cell]
As 0.000 0.000 0.500 [1 per cell]
Au 0.000 0.500 0.500 [2 per cell]

=====

Here is a relaxed structure of Ac2GaAs from the Alexandria database. Energies are from PBE.

Values from the calculation:
The distance to the lowest polymorph of the same formula is 0.00 eV/f.u. The magnetic moment is 0.000 μB/atom. As for the calculated total energy: -0.3635 Ry per atom. The energy of formation from the pure elements is -94 kJ per mole of atoms. As for the density of states at the Fermi level: 12.99 states/eV per cell.

Cell lengths 4.629, 25.707, 4.451 Å; angles 90.00, 90.00, 90.00 degrees
Space group Cmcm (No. 63)
Inequivalent atoms, fractional coordinates:
Ac 0.000 0.066 0.250 [4 per cell]
Ac 0.000 0.311 0.250 [4 per cell]
Ga 0.000 0.469 0.250 [4 per cell]
As 0.000 0.189 0.250 [4 per cell]

=====

Here is a relaxed structure of CeMg10Cd2 from the Alexandria database. Energies are from PBE.

Values from the calculation:
The magnetic moment is 0.082 μB/atom. As for the calculated total energy: -0.1387 Ry per atom. The energy of formation from the pure elements is -6 kJ per mole of atoms. As for the density of states at the Fermi level: 49.82 states/eV per cell.

Cell lengths 5.956, 14.267, 14.371 Å; angles 90.00, 90.00, 90.00 degrees
Space group Fmmm (No. 69)
Inequivalent atoms, fractional coordinates:
Ce 0.000 0.000 0.000 [4 per cell]
Mg 0.000 0.108 0.394 [16 per cell]
Mg 0.000 0.177 0.173 [16 per cell]
Mg 0.250 0.000 0.250 [8 per cell]
Cd 0.250 0.250 0.000 [8 per cell]

=====

Here is a relaxed structure of Ba2ZnW from the Alexandria database. Energies are from PBE.

Values from the calculation:
The magnetic moment is 0.000 μB/atom. As for the calculated total energy: -0.2481 Ry per atom. The energy of formation from the pure elements is 110 kJ per mole of atoms. As for the density of states at the Fermi level: 11.99 states/eV per cell.

Cell lengths 3.5178, 3.5178, 32.9731 Å; angles 90.00, 90.00, 120.00 degrees
Space group R-3m (No. 166, hexagonal axes)
Inequivalent atoms, fractional coordinates:
Ba 0.0000 0.0000 0.2459 [6 per cell]
Zn 0.0000 0.0000 0.0000 [3 per cell]
W 0.0000 0.0000 0.5000 [3 per cell]

=====

Here is a relaxed structure of Ce2DyIn from the Alexandria database. Energies are from PBE.

Values from the calculation:
The distance to the lowest polymorph of the same formula is 0.00 eV/f.u. The magnetic moment is 0.118 μB/atom. As for the calculated total energy: -0.3709 Ry per atom. The energy of formation from the pure elements is -24 kJ per mole of atoms. As for the density of states at the Fermi level: 16.45 states/eV per cell.

Cell lengths 6.575, 5.258, 7.122 Å; angles 90.00, 117.45, 90.00 degrees
Space group P2_1/m (No. 11)
Inequivalent atoms, fractional coordinates:
Ce 0.166 0.250 0.387 [2 per cell]
Ce 0.279 0.750 0.613 [2 per cell]
Dy 0.315 0.750 0.129 [2 per cell]
In 0.180 0.250 0.860 [2 per cell]